# 1
Below is a relaxed Sm8AsSe4S3 crystal, with properties calculated at the PBE level.

a b c (Å): 8.203 8.293 8.203
angles (deg): 119.64 120.00 90.00
Atoms (fractional coordinates):
Sm: 0.246 0.730 0.984
Sm: 0.246 0.730 0.492
Sm: 0.258 0.275 0.517
Sm: 0.737 0.730 0.984
Sm: 0.263 0.270 0.016
Sm: 0.742 0.725 0.483
Sm: 0.754 0.270 0.508
Sm: 0.754 0.270 0.016
As: 0.000 0.500 0.000
Se: 0.500 0.000 0.000
Se: 0.500 0.000 0.500
Se: 0.000 0.000 0.000
Se: 0.000 0.000 0.500
S: 0.500 0.500 0.000
S: 0.500 0.500 0.500
S: 0.000 0.500 0.500

DFT total energy (eV for the cell shown): -98.81
Space group: No. 166
ΔE_f (raw) (eV per atom): -1.88
Crystal system: trigonal


# 2
Below is a relaxed Sm6As3Se2S crystal, with properties calculated at the PBE level.

a b c (Å): 4.174 8.342 9.338
angles (deg): 102.97 102.92 90.00
Atoms (fractional coordinates):
Sm: 0.335 0.924 0.669
Sm: 0.664 0.589 0.328
Sm: 0.665 0.076 0.331
Sm: 0.997 0.248 0.995
Sm: 0.003 0.752 0.005
Sm: 0.336 0.411 0.672
As: 0.500 0.500 0.000
As: 0.832 0.166 0.664
As: 0.168 0.834 0.336
Se: 0.834 0.667 0.667
Se: 0.166 0.333 0.333
S: 0.500 0.000 0.000

DFT total energy (eV for the cell shown): -74.41
Space group: No. 12
ΔE_f (raw) (eV per atom): -1.75
Crystal system: monoclinic


# 3
Below is a relaxed Sm4As2SeS crystal, with properties calculated at the PBE level.

a b c (Å): 8.321 8.321 8.305
angles (deg): 119.93 119.93 90.00
Atoms (fractional coordinates):
Sm: 0.256 0.757 0.007
Sm: 0.743 0.244 0.493
Sm: 0.257 0.756 0.507
Sm: 0.744 0.243 0.993
Sm: 0.747 0.753 0.000
Sm: 0.747 0.753 0.500
Sm: 0.253 0.247 0.500
Sm: 0.253 0.247 0.000
As: 0.500 0.000 0.000
As: 0.500 0.000 0.500
As: 0.000 0.000 0.500
As: 0.500 0.500 0.000
Se: 0.000 0.500 0.000
Se: 0.000 0.500 0.500
S: 0.500 0.500 0.500
S: 0.000 0.000 0.000

DFT total energy (eV for the cell shown): -99.79
Space group: No. 74
ΔE_f (raw) (eV per atom): -1.76
Crystal system: orthorhombic


# 4
Below is a relaxed SnAs2SeS crystal, with properties calculated at the PBE level.

a b c (Å): 5.326 5.326 5.133
angles (deg): 90.00 90.00 90.00
Atoms (fractional coordinates):
S: 0.500 0.500 0.500
As: 0.000 0.500 0.000
As: 0.500 0.000 0.000
Sn: 0.000 0.000 0.000
Se: 0.000 0.000 0.500

DFT total energy (eV for the cell shown): -15.45
Space group: No. 123
ΔE_f (raw) (eV per atom): 1.09
Crystal system: tetragonal
Excess energy over the best structure of this formula in the dataset (meV per atom): 610.4


# 5
Below is a relaxed SnAs2SeS crystal, with properties calculated at the PBE level.

a b c (Å): 4.766 5.574 4.766
angles (deg): 90.00 90.00 90.00
Atoms (fractional coordinates):
S: 0.000 0.000 0.000
As: 0.000 0.000 0.500
As: 0.500 0.000 0.000
Sn: 0.000 0.500 0.000
Se: 0.500 0.500 0.500

DFT total energy (eV for the cell shown): -18.07
Space group: No. 123
ΔE_f (raw) (eV per atom): 0.57
Crystal system: tetragonal
Excess energy over the best structure of this formula in the dataset (meV per atom): 87.0


# 6
Below is a relaxed Sn4AsSe2S crystal, with properties calculated at the PBE level.

a b c (Å): 4.167 7.291 7.253
angles (deg): 70.61 90.00 90.00
Atoms (fractional coordinates):
Sn: 0.000 0.740 0.754
Sn: 0.000 0.260 0.246
Sn: 0.500 0.738 0.256
Sn: 0.500 0.262 0.744
As: 0.000 0.500 0.500
Se: 0.000 0.000 0.000
Se: 0.500 0.000 0.500
S: 0.500 0.500 0.000

DFT total energy (eV for the cell shown): -34.23
Space group: No. 10
ΔE_f (raw) (eV per atom): -0.31
Crystal system: monoclinic


# 7
Below is a relaxed SnAs2SeS crystal, with properties calculated at the PBE level.

a b c (Å): 4.887 4.887 4.896
angles (deg): 90.00 90.00 90.00
Atoms (fractional coordinates):
S: 0.000 0.000 0.000
As: 0.000 0.500 0.000
As: 0.500 0.000 0.000
Sn: 0.500 0.500 0.500
Se: 0.000 0.000 0.500

DFT total energy (eV for the cell shown): -18.50
Space group: No. 123
ΔE_f (raw) (eV per atom): 0.48
Crystal system: tetragonal
Excess energy over the best structure of this formula in the dataset (meV per atom): 0.0


# 8
Below is a relaxed SrAs2SeS crystal, with properties calculated at the PBE level.

a b c (Å): 5.847 5.847 5.672
angles (deg): 90.00 90.00 90.00
Atoms (fractional coordinates):
Sr: 0.000 0.000 0.000
As: 0.000 0.500 0.000
As: 0.500 0.000 0.000
S: 0.500 0.500 0.500
Se: 0.000 0.000 0.500

DFT total energy (eV for the cell shown): -12.99
Space group: No. 123
ΔE_f (raw) (eV per atom): 1.12
Crystal system: tetragonal
Excess energy over the best structure of this formula in the dataset (meV per atom): 1275.8


# 9
Below is a relaxed SrAs2SeS crystal, with properties calculated at the PBE level.

a b c (Å): 4.929 4.929 5.071
angles (deg): 90.00 90.00 90.00
Atoms (fractional coordinates):
Sr: 0.500 0.500 0.500
As: 0.000 0.500 0.000
As: 0.500 0.000 0.000
S: 0.000 0.000 0.000
Se: 0.000 0.000 0.500

DFT total energy (eV for the cell shown): -19.37
Space group: No. 123
ΔE_f (raw) (eV per atom): -0.15
Crystal system: tetragonal
Excess energy over the best structure of this formula in the dataset (meV per atom): 0.0


# 10
Below is a relaxed Tb8AsSe4S3 crystal, with properties calculated at the PBE level.

a b c (Å): 8.047 8.133 8.046
angles (deg): 119.65 120.00 90.00
Atoms (fractional coordinates):
Tb: 0.246 0.728 0.982
Tb: 0.246 0.728 0.492
Tb: 0.259 0.277 0.518
Tb: 0.736 0.728 0.982
Tb: 0.264 0.272 0.018
Tb: 0.741 0.723 0.482
Tb: 0.754 0.272 0.508
Tb: 0.754 0.272 0.018
As: 0.000 0.500 0.000
Se: 0.500 0.000 0.000
Se: 0.500 0.000 0.500
Se: 0.000 0.000 0.000
Se: 0.000 0.000 0.500
S: 0.500 0.500 0.000
S: 0.500 0.500 0.500
S: 0.000 0.500 0.500

DFT total energy (eV for the cell shown): -97.73
Space group: No. 166
ΔE_f (raw) (eV per atom): -1.86
Crystal system: trigonal


# 11
Below is a relaxed Tb6As3Se2S crystal, with properties calculated at the PBE level.

a b c (Å): 4.097 8.186 9.162
angles (deg): 102.92 102.92 90.00
Atoms (fractional coordinates):
Tb: 0.335 0.924 0.670
Tb: 0.664 0.590 0.327
Tb: 0.665 0.076 0.330
Tb: 0.997 0.247 0.994
Tb: 0.003 0.753 0.006
Tb: 0.336 0.410 0.673
As: 0.500 0.500 0.000
As: 0.832 0.166 0.664
As: 0.168 0.834 0.336
Se: 0.834 0.666 0.667
Se: 0.166 0.334 0.333
S: 0.500 0.000 0.000

DFT total energy (eV for the cell shown): -73.77
Space group: No. 12
ΔE_f (raw) (eV per atom): -1.75
Crystal system: monoclinic


# 12
Below is a relaxed Tb6As2Se3S crystal, with properties calculated at the PBE level.

a b c (Å): 4.074 8.198 9.172
angles (deg): 103.59 102.83 90.00
Atoms (fractional coordinates):
Tb: 0.340 0.913 0.680
Tb: 0.669 0.576 0.338
Tb: 0.660 0.087 0.320
Tb: 0.002 0.234 0.004
Tb: 0.998 0.766 0.996
Tb: 0.331 0.424 0.662
As: 0.834 0.668 0.668
As: 0.166 0.332 0.332
Se: 0.500 0.500 0.000
Se: 0.832 0.166 0.664
Se: 0.168 0.834 0.336
S: 0.500 0.000 0.000

DFT total energy (eV for the cell shown): -73.04
Space group: No. 12
ΔE_f (raw) (eV per atom): -1.78
Crystal system: monoclinic